Record 1
Computed, not measured: a relaxed structure of Er10Sn3Pb3 at the PBE level of DFT.

a = 8.9287 Å, b = 8.9287 Å, c = 6.5232 Å
α = 90.00°, β = 90.00°, γ = 120.00°
Positions (direct):
1 Er 0.0000 0.2365 0.0000
2 Er 0.0000 0.7632 0.5000
3 Er 0.2365 0.0000 0.0000
4 Er 0.2368 0.2368 0.5000
5 Er 0.3333 0.6667 0.2530
6 Er 0.3333 0.6667 0.7470
7 Er 0.6667 0.3333 0.2530
8 Er 0.6667 0.3333 0.7470
9 Er 0.7632 0.0000 0.5000
10 Er 0.7635 0.7635 0.0000
11 Sn 0.0000 0.3944 0.5000
12 Sn 0.3944 0.0000 0.5000
13 Sn 0.6056 0.6056 0.5000
14 Pb 0.0000 0.6046 0.0000
15 Pb 0.3954 0.3954 0.0000
16 Pb 0.6046 0.0000 0.0000

Record 2
Computed, not measured: a relaxed structure of Er2SnPb at the PBE level of DFT.

a = 3.4909 Å, b = 3.4909 Å, c = 8.8000 Å
α = 90.00°, β = 90.00°, γ = 90.00°
Positions (direct):
1 Er 0.0000 0.0000 0.2426
2 Er 0.0000 0.0000 0.7574
3 Sn 0.5000 0.5000 0.0000
4 Pb 0.5000 0.5000 0.5000

Record 3
Computed, not measured: a relaxed structure of ErSn2Pb at the PBE level of DFT.

a = 4.1422 Å, b = 4.1422 Å, c = 6.4478 Å
α = 90.00°, β = 90.00°, γ = 90.00°
Positions (direct):
1 Er 0.0000 0.0000 0.0000
2 Sn 0.5000 0.5000 0.2360
3 Sn 0.5000 0.5000 0.7640
4 Pb 0.0000 0.0000 0.5000

Record 4
Computed, not measured: a relaxed structure of Er2SnPb at the PBE level of DFT.

a = 5.3696 Å, b = 5.3696 Å, c = 5.3696 Å
α = 60.00°, β = 60.00°, γ = 60.00°
Positions (direct):
1 Er 0.2500 0.2500 0.2500
2 Er 0.7500 0.7500 0.7500
3 Sn 0.0000 0.0000 0.0000
4 Pb 0.5000 0.5000 0.5000

Record 5
Computed, not measured: a relaxed structure of Er8Sn5Pb at the PBE level of DFT.

a = 7.9904 Å, b = 7.9904 Å, c = 7.9904 Å
α = 109.48°, β = 109.48°, γ = 109.45°
Positions (direct):
1 Er 0.0200 0.1251 0.7516
2 Er 0.2361 0.4848 0.6082
3 Er 0.3722 0.7639 0.2487
4 Er 0.3735 0.2684 0.2484
5 Er 0.5152 0.1234 0.7513
6 Er 0.7316 0.9800 0.1051
7 Er 0.8749 0.6265 0.8949
8 Er 0.8766 0.6278 0.3918
9 Sn 0.1261 0.0017 0.3753
10 Sn 0.2492 0.8739 0.8756
11 Sn 0.5000 0.5000 0.0000
12 Sn 0.6265 0.7508 0.6247
13 Sn 0.9983 0.3735 0.1244
14 Pb 0.7500 0.2500 0.5000

Record 6
Computed, not measured: a relaxed structure of Er6SnTe3Pb2 at the PBE level of DFT.

a = 9.7998 Å, b = 9.7998 Å, c = 8.7601 Å
α = 103.14°, β = 103.14°, γ = 25.85°
Positions (direct):
1 Er 0.0022 0.0022 0.2401
2 Er 0.3313 0.3313 0.4232
3 Er 0.3372 0.3372 0.9117
4 Er 0.6628 0.6628 0.0883
5 Er 0.6687 0.6687 0.5768
6 Er 0.9978 0.9978 0.7599
7 Sn 0.5000 0.5000 0.0000
8 Te 0.1670 0.1670 0.8334
9 Te 0.5000 0.5000 0.5000
10 Te 0.8330 0.8330 0.1666
11 Pb 0.1667 0.1667 0.3331
12 Pb 0.8333 0.8333 0.6669

Energy relative to the elements, uncorrected   -0.9209 eV/atom

Record 7
Computed, not measured: a relaxed structure of Er4SnTe2Pb at the PBE level of DFT.

a = 7.5778 Å, b = 4.3752 Å, c = 7.5896 Å
α = 90.00°, β = 109.40°, γ = 90.00°
Positions (direct):
1 Er 0.2431 0.0000 0.2360
2 Er 0.2524 0.5000 0.7626
3 Er 0.7476 0.5000 0.2374
4 Er 0.7569 0.0000 0.7640
5 Sn 0.0000 0.5000 0.0000
6 Te 0.0000 0.0000 0.5000
7 Te 0.5000 0.5000 0.5000
8 Pb 0.5000 0.0000 0.0000

Energy relative to the elements, uncorrected   -0.9388 eV/atom

Record 8
Computed, not measured: a relaxed structure of ErTmSnPb at the PBE level of DFT.

a = 5.3607 Å, b = 5.3607 Å, c = 5.3607 Å
α = 60.00°, β = 60.00°, γ = 60.00°
Positions (direct):
1 Er 0.0000 0.0000 0.0000
2 Tm 0.5000 0.5000 0.5000
3 Sn 0.2500 0.2500 0.2500
4 Pb 0.7500 0.7500 0.7500

no.,Fermi-level density of states (states/eV/cell),E_tot (eV/atom)
1,8.37,-4.91
2,3.11,-4.71
3,1.66,-4.36
4,2.63,-4.64
5,1.51,-4.97
6,2.80,-4.94
7,1.89,-4.97
8,2.59,-4.61